[1]
A geometry-optimized LaTlIn3 structure, computed with PBE-GGA.

Output
For the energy relative to the elements, the calculation gives 52.6 kJ per mole of atoms. The total moment is 0.000 μB per formula unit. The calculation puts the density of states at the Fermi level at 1.259 states/eV/atom. The raw total energy comes out at -12.783 eV per formula unit. Its symmetry is Pm-3m, No. 221. The polymorph energy (0 for the lowest one) is 782 meV per atom.

extended XYZ file:
```
5
Lattice="6.120 0.000 0.000 0.000 6.120 0.000 0.000 0.000 6.120" Properties=species:S:1:pos:R:3 pbc="T T T"
La 0.000 0.000 0.000
Tl 3.060 3.060 3.060
In 0.000 0.000 3.060
In 0.000 3.060 0.000
In 3.060 0.000 0.000
```

---

[2]
A geometry-optimized La2TlIn structure, computed with PBE-GGA.

Output
For the energy relative to the elements, the calculation gives -45.1 kJ per mole of atoms. The total moment is 0.000 μB per formula unit. The calculation puts the density of states at the Fermi level at 0.766 states/eV/atom. The raw total energy comes out at -16.831 eV per formula unit. Its symmetry is Pmm2, No. 25.

extended XYZ file:
```
4
Lattice="3.948 0.000 0.000 0.000 5.631 0.000 0.000 0.000 5.630" Properties=species:S:1:pos:R:3 pbc="T T T"
La 0.000 0.000 0.000
La 0.000 2.815 2.806
Tl 1.974 2.815 5.618
In 1.974 0.000 2.815
```

---

[3]
A geometry-optimized La6TlIn5 structure, computed with PBE-GGA.

Output
For the energy relative to the elements, the calculation gives -48.1 kJ per mole of atoms. The total moment is 0.000 μB per formula unit. The calculation puts the density of states at the Fermi level at 0.750 states/eV/atom. The raw total energy comes out at -51.609 eV per formula unit. Its symmetry is C2/m, No. 12.

extended XYZ file:
```
12
Lattice="4.846 -8.411 0.000 4.846 8.411 0.000 -3.227 0.000 4.573" Properties=species:S:1:pos:R:3 pbc="T T T"
La -0.001 2.813 3.427
La 1.608 0.000 1.138
La -0.001 -2.813 3.427
La 6.466 2.813 1.146
La 4.857 0.000 3.435
La 6.466 -2.813 1.146
Tl 4.846 0.000 0.000
In -1.613 0.000 2.287
In 4.846 5.610 0.000
In 3.232 2.799 2.287
In 3.232 -2.799 2.287
In 4.846 -5.610 0.000
```

---

[4]
A geometry-optimized La2TlIn structure, computed with PBE-GGA.

Output
For the energy relative to the elements, the calculation gives -3.5 kJ per mole of atoms. The total moment is 0.117 μB per formula unit. The calculation puts the density of states at the Fermi level at 2.034 states/eV/atom. The raw total energy comes out at -15.104 eV per formula unit. Its symmetry is F-43m, No. 216.

extended XYZ file:
```
4
Lattice="0.000 3.947 3.947 3.947 0.000 3.947 3.947 3.947 0.000" Properties=species:S:1:pos:R:3 pbc="T T T"
La 0.000 0.000 0.000
La 1.973 1.973 1.973
Tl 5.920 5.920 5.920
In 3.947 3.947 3.947
```

---

[5]
A geometry-optimized La6TlIn2 structure, computed with PBE-GGA.

Output
For the energy relative to the elements, the calculation gives -31.1 kJ per mole of atoms. The total moment is 0.000 μB per formula unit. The calculation puts the density of states at the Fermi level at 1.241 states/eV/atom. The raw total energy comes out at -40.310 eV per formula unit. Its symmetry is P-62m, No. 189. The polymorph energy (0 for the lowest one) is 7 meV per atom.

extended XYZ file:
```
9
Lattice="8.707 0.000 0.000 -4.354 7.541 0.000 0.000 0.000 4.665" Properties=species:S:1:pos:R:3 pbc="T T T"
La -1.180 2.044 0.000
La -2.574 4.458 2.332
La 2.360 0.000 0.000
La 1.780 3.082 2.332
La 5.148 0.000 2.332
La 3.173 5.496 0.000
Tl 0.000 0.000 2.332
In 0.000 5.027 0.000
In 4.354 2.514 0.000
```

---

[6]
A geometry-optimized LaTl2In structure, computed with PBE-GGA.

Output
For the energy relative to the elements, the calculation gives -21.9 kJ per mole of atoms. The total moment is 0.000 μB per formula unit. The calculation puts the density of states at the Fermi level at 0.567 states/eV/atom. The raw total energy comes out at -13.307 eV per formula unit. Its symmetry is F-43m, No. 216.

extended XYZ file:
```
4
Lattice="0.000 3.889 3.889 3.889 0.000 3.889 3.889 3.889 0.000" Properties=species:S:1:pos:R:3 pbc="T T T"
La 0.000 0.000 0.000
Tl 1.945 1.945 1.945
Tl 3.889 3.889 3.889
In 5.834 5.834 5.834
```

---

[7]
A geometry-optimized La2TlIn structure, computed with PBE-GGA.

Output
For the energy relative to the elements, the calculation gives -17.1 kJ per mole of atoms. The total moment is 0.000 μB per formula unit. The calculation puts the density of states at the Fermi level at 0.986 states/eV/atom. The raw total energy comes out at -15.668 eV per formula unit. Its symmetry is P4mm, No. 99.

extended XYZ file:
```
4
Lattice="3.729 0.000 0.000 0.000 3.729 0.000 0.000 0.000 9.283" Properties=species:S:1:pos:R:3 pbc="T T T"
La 0.000 0.000 0.000
La 1.864 1.864 2.895
Tl 0.000 0.000 5.160
In 1.864 1.864 7.059
```

---

[8]
A geometry-optimized La4Tl3In structure, computed with PBE-GGA.

Output
For the energy relative to the elements, the calculation gives -43.2 kJ per mole of atoms. The total moment is 0.000 μB per formula unit. The calculation puts the density of states at the Fermi level at 1.000 states/eV/atom. The raw total energy comes out at -33.132 eV per formula unit. Its symmetry is P4/mmm, No. 123.

extended XYZ file:
```
8
Lattice="3.971 0.000 0.000 0.000 3.971 0.000 0.000 0.000 15.938" Properties=species:S:1:pos:R:3 pbc="T T T"
La 0.000 0.000 1.957
La 0.000 0.000 5.963
La 0.000 0.000 9.975
La 0.000 0.000 13.981
Tl 1.986 1.986 3.961
Tl 1.986 1.986 7.969
Tl 1.986 1.986 11.977
In 1.986 1.986 0.000
```

---

[9]
A geometry-optimized LaTl2In structure, computed with PBE-GGA.

Output
For the energy relative to the elements, the calculation gives -8.3 kJ per mole of atoms. The total moment is 0.000 μB per formula unit. The calculation puts the density of states at the Fermi level at 0.656 states/eV/atom. The raw total energy comes out at -12.742 eV per formula unit. Its symmetry is Cmm2, No. 35.

extended XYZ file:
```
4
Lattice="1.917 -2.901 0.000 1.917 2.901 0.000 0.000 0.000 10.924" Properties=species:S:1:pos:R:3 pbc="T T T"
La 0.000 0.000 0.000
Tl 0.000 0.000 5.375
Tl 1.917 0.000 8.092
In 1.917 0.000 2.759
```

---

[10]
A geometry-optimized La7Tl3In structure, computed with PBE-GGA.

Output
For the energy relative to the elements, the calculation gives -23.6 kJ per mole of atoms. The total moment is 0.000 μB per formula unit. The calculation puts the density of states at the Fermi level at 0.818 states/eV/atom. The raw total energy comes out at -47.015 eV per formula unit. Its symmetry is C2/m, No. 12.

extended XYZ file:
```
11
Lattice="5.840 -6.079 0.000 5.840 6.079 0.000 -3.188 0.000 5.218" Properties=species:S:1:pos:R:3 pbc="T T T"
La 0.000 0.000 0.000
La 2.821 2.893 1.733
La 1.192 0.000 4.325
La 5.671 2.893 3.484
La 2.821 -2.893 1.733
La 7.300 0.000 0.892
La 5.671 -2.893 3.484
Tl 5.840 2.877 0.000
Tl 4.246 0.000 2.609
Tl 5.840 -2.877 0.000
In -1.594 0.000 2.609
```

---

[11]
A geometry-optimized La3TlIn structure, computed with PBE-GGA.

Output
For the energy relative to the elements, the calculation gives -27.8 kJ per mole of atoms. The total moment is 0.000 μB per formula unit. The calculation puts the density of states at the Fermi level at 1.093 states/eV/atom. The raw total energy comes out at -21.327 eV per formula unit. Its symmetry is C2/m, No. 12. The polymorph energy (0 for the lowest one) is 56 meV per atom.

extended XYZ file:
```
10
Lattice="8.449 -1.906 0.000 8.449 1.906 0.000 -3.365 0.000 10.102" Properties=species:S:1:pos:R:3 pbc="T T T"
La 0.455 0.000 4.283
La -0.947 0.000 9.622
La 1.602 0.000 7.370
La 11.931 0.000 2.732
La 14.480 0.000 0.480
La 13.078 0.000 5.819
Tl 4.691 0.000 8.574
Tl 8.843 0.000 1.528
In 6.161 0.000 3.423
In 7.373 0.000 6.679
```

---

[12]
A geometry-optimized LaTl2In structure, computed with PBE-GGA.

Output
For the energy relative to the elements, the calculation gives -12.9 kJ per mole of atoms. The total moment is 0.000 μB per formula unit. The calculation puts the density of states at the Fermi level at 0.801 states/eV/atom. The raw total energy comes out at -12.933 eV per formula unit. Its symmetry is I-42d, No. 122.

extended XYZ file:
```
8
Lattice="-2.374 2.374 11.380 2.374 -2.374 11.380 2.374 2.374 -11.380" Properties=species:S:1:pos:R:3 pbc="T T T"
La 0.000 0.000 0.000
La 0.000 2.374 5.690
Tl 1.187 -1.106 8.535
Tl 1.268 1.187 2.845
Tl 1.187 3.480 -2.845
Tl 1.106 1.187 14.225
In 2.374 0.000 5.690
In 0.000 0.000 11.380
```